Record 1
Below is a relaxed structure of SbAs3, with properties calculated at the GGA-PBEsol level.

a b c (Å): 3.938 4.826 4.880
angles (deg): 108.89 90.00 90.00
Atoms (fractional coordinates):
Sb 0.500 0.000 0.500
As 0.000 0.759 0.781
As 0.000 0.241 0.219
As 0.500 0.500 0.000

- Formation energy without anion corrections: 0.07 eV per atom
- Theoretical density: 6.6 g cm⁻³
- Space-group type: P2/m (10)


Record 2
Below is a relaxed structure of SbAs2, with properties calculated at the GGA-PBEsol level.

a b c (Å): 3.966 5.668 6.314
angles (deg): 90.00 108.30 90.00
Atoms (fractional coordinates):
As 0.995 0.250 0.991
As 0.661 0.750 0.322
As 0.339 0.250 0.678
As 0.005 0.750 0.009
Sb 0.334 0.750 0.668
Sb 0.666 0.250 0.332

- Formation energy without anion corrections: 0.06 eV per atom
- Theoretical density: 6.7 g cm⁻³
- Space-group type: Cmcm (63)


Record 3
Below is a relaxed structure of Sb3As, with properties calculated at the GGA-PBEsol level.

a b c (Å): 4.204 4.204 7.293
angles (deg): 73.25 73.25 60.00
Atoms (fractional coordinates):
Sb 0.256 0.256 0.232
Sb 0.744 0.744 0.768
Sb 0.500 0.500 0.500
As 0.000 0.000 0.000

- Formation energy without anion corrections: 0.04 eV per atom
- Theoretical density: 6.9 g cm⁻³
- Space-group type: R-3m (166)


Record 4
Below is a relaxed structure of Sb3As, with properties calculated at the GGA-PBEsol level.

a b c (Å): 4.162 4.443 5.976
angles (deg): 90.00 90.00 90.00
Atoms (fractional coordinates):
Sb 0.500 0.371 0.500
Sb 0.500 0.273 0.000
Sb 0.000 0.816 0.500
As 0.000 0.873 0.000

- Formation energy without anion corrections: 0.03 eV per atom
- Theoretical density: 6.6 g cm⁻³
- Space-group type: Pmm2 (25)


| no. | polymorph energy (0 for the lowest one) (meV per atom) |
| --- | --- |
| 1 | 47.7 |
| 2 | 31.3 |
| 3 | 9.7 |
| 4 | 0.0 |